1.
Computed, not measured: a PBEsol-optimized structure of ZrHgSe2 at the meta-GGA SCAN level of DFT.

Computed properties:
DOS(E_F) (states/eV/f.u.): 2.4
SG: I-4m2
Energy relative to the elements, uncorrected (eV per atom): -0.39
Size of the total moment (μB/atom): 0.000
Energy (eV per atom): -35.149

Geometry as POSCAR:
```
ZrHgSe2
1.0
-1.9806 1.9806 5.1320
1.9806 -1.9806 5.1320
1.9806 1.9806 -5.1320
Zr Hg Se
1 1 2
Direct
0.0000 0.0000 0.0000
0.7500 0.2500 0.5000
0.2500 0.7500 0.5000
0.5000 0.5000 0.0000
```

---

2.
Computed, not measured: a PBEsol-optimized structure of LaIr2 at the meta-GGA SCAN level of DFT.

Computed properties:
DOS(E_F) (states/eV/f.u.): 2.0
SG: Fd-3m
Energy of formation (eV/atom): -0.849
Size of the total moment (μB/atom): 0.000
Energy (eV per atom): -62.617

Geometry as POSCAR:
```
LaIr2
1.0
0.0000 3.8172 3.8172
3.8172 0.0000 3.8172
3.8172 3.8172 0.0000
La Ir
2 4
Direct
0.1250 0.1250 0.1250
0.8750 0.8750 0.8750
0.0000 0.5000 0.5000
0.5000 0.0000 0.5000
0.5000 0.5000 0.0000
0.5000 0.5000 0.5000
```